First-principles (GGA-PBE) data for BeCoCuW after structural relaxation, as listed in OQMD via LeMat-Bulk.

Cell: 4.055 4.055 4.055 Å, 60.00 60.00 60.00°
Sites, in units of the cell vectors:
Be: 0.000 0.000 0.000
Co: 0.250 0.250 0.250
Cu: 0.750 0.750 0.750
W: 0.500 0.500 0.500

## Properties
V   11.8 Å³/atom
Spin magnetization   0.012 μB/f.u.
Calculated total energy   -6.726 eV per atom
SG   F-43m